First-principles (PBE-GGA) data for crystalline Pr4BrN2 at its relaxed geometry, as listed in Alexandria.

a b c (Å): 14.145 14.145 14.145
angles (deg): 15.12 15.12 15.12
Fractional coordinates of all 7 atoms:
Pr 0.122 0.122 0.122
Pr 0.276 0.276 0.276
Pr 0.724 0.724 0.724
Pr 0.878 0.878 0.878
Br 0.000 0.000 0.000
N 0.422 0.422 0.422
N 0.578 0.578 0.578

Values from the calculation:
Symmetry ... R-3m (166)
Calculated volume ... 168 Å³ per cell
Magnetization ... 0.0 μB/f.u.
Uncorrected formation energy ... -1.14 eV/atom